Crystalline CoTe2Br at its relaxed geometry, computed with PBE-GGA.

Structure (CIF):
```
data_CoTe2Br
_cell_length_a 6.4827
_cell_length_b 7.5666
_cell_length_c 9.0997
_cell_angle_alpha 90.00
_cell_angle_beta 90.00
_cell_angle_gamma 90.00
_space_group_name_H-M_alt 'P 1'
_space_group_IT_number 1
loop_
_space_group_symop_operation_xyz
'x,y,z'
loop_
_atom_site_label
_atom_site_type_symbol
_atom_site_fract_x
_atom_site_fract_y
_atom_site_fract_z
Co1 Co 0.2485 0.2500 0.2497
Co2 Co 0.2515 0.7500 0.7497
Co3 Co 0.7485 0.2500 0.2503
Co4 Co 0.7515 0.7500 0.7503
Te1 Te 0.0013 0.5068 0.6537
Te2 Te 0.0013 0.9932 0.6537
Te3 Te 0.4987 0.0068 0.1537
Te4 Te 0.4987 0.4932 0.1537
Te5 Te 0.5013 0.5068 0.8463
Te6 Te 0.5013 0.9932 0.8463
Te7 Te 0.9987 0.0068 0.3463
Te8 Te 0.9987 0.4932 0.3463
Br1 Br 0.0018 0.7500 0.9475
Br2 Br 0.4982 0.2500 0.4475
Br3 Br 0.5018 0.7500 0.5525
Br4 Br 0.9982 0.2500 0.0525
```

Results
Energy relative to the elements, uncorrected, eV per atom: -0.126
SG: No. 62
Uncorrected energy, eV/atom: -3.89
Crystal system: orthorhombic
Calculated density, g/cm³: 5.9
ΔE to the lowest computed polymorph, kJ/mol of formula units: 25



Crystalline CoTe2Br at its relaxed geometry, computed with PBE-GGA.

Structure (CIF):
```
data_CoTe2Br
_cell_length_a 3.8263
_cell_length_b 3.9554
_cell_length_c 7.9432
_cell_angle_alpha 94.56
_cell_angle_beta 90.60
_cell_angle_gamma 118.78
_space_group_name_H-M_alt 'P 1'
_space_group_IT_number 1
loop_
_space_group_symop_operation_xyz
'x,y,z'
loop_
_atom_site_label
_atom_site_type_symbol
_atom_site_fract_x
_atom_site_fract_y
_atom_site_fract_z
Co1 Co 0.0000 0.0000 0.0000
Te1 Te 0.3490 0.6902 0.1545
Te2 Te 0.6510 0.3098 0.8455
Br1 Br 0.5000 0.0000 0.5000
```

Results
Energy relative to the elements, uncorrected, eV per atom: -0.192
SG: No. 2
Uncorrected energy, eV/atom: -3.96
Crystal system: triclinic
Calculated density, g/cm³: 6.2
ΔE to the lowest computed polymorph, kJ/mol of formula units: 0



Crystalline CoTe2Br at its relaxed geometry, computed with PBE-GGA.

Structure (CIF):
```
data_CoTe2Br
_cell_length_a 6.3304
_cell_length_b 6.3304
_cell_length_c 5.5672
_cell_angle_alpha 93.40
_cell_angle_beta 93.40
_cell_angle_gamma 115.33
_space_group_name_H-M_alt 'P 1'
_space_group_IT_number 1
loop_
_space_group_symop_operation_xyz
'x,y,z'
loop_
_atom_site_label
_atom_site_type_symbol
_atom_site_fract_x
_atom_site_fract_y
_atom_site_fract_z
Co1 Co 0.1754 0.8246 0.0000
Co2 Co 0.8246 0.1754 0.0000
Te1 Te 0.1225 0.1225 0.7428
Te2 Te 0.5100 0.8245 0.7672
Te3 Te 0.8245 0.5100 0.7672
Te4 Te 0.8601 0.8601 0.2542
Br1 Br 0.1604 0.5057 0.2432
Br2 Br 0.5057 0.1604 0.2432
```

Results
Energy relative to the elements, uncorrected, eV per atom: -0.133
SG: No. 8
Uncorrected energy, eV/atom: -3.90
Crystal system: monoclinic
Calculated density, g/cm³: 6.5
ΔE to the lowest computed polymorph, kJ/mol of formula units: 23



Number 1: D(E_F) 0.1 states/eV/f.u., magnetization 0.0000 μB per atom. Number 2: D(E_F) 2.7 states/eV/f.u., magnetization 0.0000 μB per atom. Number 3: D(E_F) 0.4 states/eV/f.u., magnetization 0.0000 μB per atom.